1.
An optimized crystal structure of Cs2NpAgSe4. Source: Alexandria, functional PBE.

a b c (Å): 6.593 8.265 13.579
angles (deg): 84.44 75.95 66.49
Site moments in Bohr magnetons follow the coordinates.
Atoms (fractional coordinates):
Cs (0.179, 0.000, 0.641)  0.00
Cs (0.821, 0.000, 0.359)  0.00
Cs (0.571, 0.500, 0.859)  0.00
Cs (0.929, 0.500, 0.141)  0.00
Np (0.750, 0.500, 0.500)  2.88
Np (0.000, 0.000, 0.000)  2.88
Ag (0.250, 0.500, 0.500)  -0.08
Ag (0.500, 0.000, 0.000)  -0.08
Se (0.297, 0.792, 0.104)  -0.15
Se (0.193, 0.208, 0.896)  -0.15
Se (0.911, 0.792, 0.896)  -0.15
Se (0.599, 0.208, 0.104)  -0.15
Se (0.453, 0.708, 0.396)  -0.15
Se (0.557, 0.292, 0.604)  -0.15
Se (0.839, 0.708, 0.604)  -0.15
Se (0.151, 0.292, 0.396)  -0.15

* N(E_F): 9.38 states/eV/f.u.
* space group: Fddd
* formation energy without anion corrections: -0.80 eV per atom

=====

2.
An optimized crystal structure of CsNp2AgSe4. Source: Alexandria, functional PBE.

a b c (Å): 4.308 7.615 14.891
angles (deg): 90.00 90.00 106.43
Site moments in Bohr magnetons follow the coordinates.
Atoms (fractional coordinates):
Cs (0.115, 0.230, 0.750)  0.00
Cs (0.885, 0.770, 0.250)  0.00
Np (0.370, 0.741, 0.562)  3.98
Np (0.630, 0.259, 0.062)  3.98
Np (0.630, 0.259, 0.438)  3.98
Np (0.370, 0.741, 0.938)  3.98
Ag (0.835, 0.669, 0.750)  -0.02
Ag (0.165, 0.331, 0.250)  -0.02
Se (0.258, 0.517, 0.099)  -0.09
Se (0.742, 0.483, 0.599)  -0.09
Se (0.742, 0.483, 0.901)  -0.09
Se (0.258, 0.517, 0.401)  -0.09
Se (0.000, 0.000, 0.500)  -0.10
Se (0.000, 0.000, 0.000)  -0.10
Se (0.434, 0.869, 0.750)  -0.07
Se (0.566, 0.131, 0.250)  -0.07

* N(E_F): 21.72 states/eV/f.u.
* space group: Cmcm
* formation energy without anion corrections: -1.00 eV per atom

=====

3.
An optimized crystal structure of Cs2Np2AgSe6. Source: Alexandria, functional PBE.

a b c (Å): 7.166 7.166 8.840
angles (deg): 97.08 97.08 120.28
Site moments in Bohr magnetons follow the coordinates.
Atoms (fractional coordinates):
Cs (0.840, 0.160, 0.000)  -0.01
Cs (0.160, 0.840, 0.000)  -0.01
Np (0.334, 0.666, 0.500)  3.12
Np (0.666, 0.334, 0.500)  3.12
Ag (0.000, 0.000, 0.500)  -0.07
Se (0.703, 0.703, 0.683)  -0.15
Se (0.056, 0.408, 0.682)  -0.14
Se (0.297, 0.297, 0.317)  -0.15
Se (0.408, 0.056, 0.682)  -0.14
Se (0.944, 0.592, 0.318)  -0.14
Se (0.592, 0.944, 0.318)  -0.14

* N(E_F): 17.89 states/eV/f.u.
* space group: C2/m
* formation energy without anion corrections: -0.99 eV per atom

=====

4.
An optimized crystal structure of Cs4Np3AgSe8. Source: Alexandria, functional PBE.

a b c (Å): 8.593 9.687 8.597
angles (deg): 116.36 119.98 90.00
Site moments in Bohr magnetons follow the coordinates.
Atoms (fractional coordinates):
Cs (0.500, 0.000, 0.000)  -0.01
Cs (0.500, 0.000, 0.500)  -0.01
Cs (0.000, 0.000, 0.000)  -0.01
Cs (0.000, 0.000, 0.500)  -0.01
Np (0.500, 0.500, 0.000)  3.62
Np (0.500, 0.500, 0.500)  3.62
Np (0.000, 0.500, 0.500)  3.62
Ag (0.000, 0.500, 0.000)  -0.04
Se (0.234, 0.682, 0.948)  -0.11
Se (0.235, 0.683, 0.469)  -0.11
Se (0.272, 0.315, 0.543)  -0.09
Se (0.714, 0.682, 0.948)  -0.11
Se (0.286, 0.318, 0.052)  -0.11
Se (0.728, 0.685, 0.457)  -0.09
Se (0.765, 0.317, 0.531)  -0.11
Se (0.766, 0.318, 0.052)  -0.11

* N(E_F): 29.97 states/eV/f.u.
* space group: R-3m
* formation energy without anion corrections: -1.08 eV per atom

=====

Among the records above, which one has the highest N(E_F)? Cs4Np3AgSe8